VASP calculation (PBE with a Hubbard U) on crystalline NaMoPO5 at its relaxed geometry.

magnetic moment	2.00	μB per formula unit
space-group type	C2/c
E_tot	-110.42	eV/cell
V	99.94	Å³/f.u.

a = 5.5396 Å, b = 5.5396 Å, c = 7.3807 Å
α = 104.91°, β = 104.91°, γ = 103.83°
With the nearest neighbours (Å) after each atom.
Element x y z (fractional)
O  0.9289  0.0711  0.7500  2 Mo 1.95
O  0.8815  0.3185  0.1359  1 P 1.56
O  0.1185  0.6815  0.8641  1 P 1.56
O  0.2535  0.3987  0.6010  1 P 1.55
O  0.6815  0.1185  0.3641  1 P 1.56
O  0.7465  0.6013  0.3990  1 P 1.55
O  0.0711  0.9289  0.2500  2 Mo 1.95
O  0.3987  0.2535  0.1010  1 P 1.55
O  0.6013  0.7465  0.8990  1 P 1.55
O  0.3185  0.8815  0.6359  1 P 1.56
Na  0.3327  0.6673  0.2500  5 O 2.28-2.54
Na  0.6673  0.3327  0.7500  5 O 2.28-2.54
P  0.6796  0.3204  0.2500  4 O 1.55-1.56
P  0.3204  0.6796  0.7500  4 O 1.55-1.56
Mo  0.0000  0.0000  0.5000  6 O 1.95-2.13
Mo  0.0000  0.0000  0.0000  6 O 1.95-2.13